Density functional theory data (GGA-PBE) for CrB2Ru after structural relaxation.

Cell lengths 4.4381, 4.4381, 10.0418 Å; angles 90.00, 90.00, 90.00 degrees
Last column: nearest neighbours and their distance in Å.
Space group I-42d (No. 122)
Unique sites:
Cr  0.0000  0.0000  0.0000  4 B 2.02
B  0.2462  0.2500  0.6250  2 Ru 2.00, 2 Cr 2.02
Ru  0.0000  0.0000  0.5000  4 B 2.00

Output
Total moment (μB/f.u.): 0.0
E_tot (eV per formula unit): -29.1
Energy relative to the lowest polymorph listed for this composition (meV per atom): 1099